Entry from Alexandria via LeMat-Bulk: crystalline Ce2DySn at its relaxed geometry (PBE).

Formation energy, eV/atom: -0.4073
Energy above the lowest structure with this stoichiometry, meV per atom: 0
Total DFT energy (no corrections), Ha/atom: -0.2031

Cell lengths 4.458, 4.365, 11.508 Å; angles 90.00, 99.94, 90.00 degrees
Sites, in units of the cell vectors:
Sn 0.177 0.250 0.333
Sn 0.823 0.750 0.667
Ce 0.002 0.750 0.117
Dy 0.304 0.250 0.610
Dy 0.696 0.750 0.390
Ce 0.397 0.750 0.884
Ce 0.998 0.250 0.883
Ce 0.603 0.250 0.116


Entry from Alexandria via LeMat-Bulk: crystalline KS at its relaxed geometry (PBE).

ΔE_f (raw), kcal/mol of atoms: -8.2
Total DFT energy (no corrections), Ha/atom: -0.1092

Cell lengths 4.604, 4.604, 4.604 Å; angles 60.00, 60.00, 60.00 degrees
Sites, in units of the cell vectors:
S 0.500 0.500 0.500
K 0.000 0.000 0.000


Repeat the first record exactly.
Entry from Alexandria via LeMat-Bulk: crystalline Ce2DySn at its relaxed geometry (PBE).

Formation energy, eV/atom: -0.4073
Energy above the lowest structure with this stoichiometry, meV per atom: 0
Total DFT energy (no corrections), Ha/atom: -0.2031

Cell lengths 4.458, 4.365, 11.508 Å; angles 90.00, 99.94, 90.00 degrees
Sites, in units of the cell vectors:
Sn 0.177 0.250 0.333
Sn 0.823 0.750 0.667
Ce 0.002 0.750 0.117
Dy 0.304 0.250 0.610
Dy 0.696 0.750 0.390
Ce 0.397 0.750 0.884
Ce 0.998 0.250 0.883
Ce 0.603 0.250 0.116